No. 1
Here is a PBEsol-optimized structure of CaNi2Au from the Alexandria database. Energies are from SCAN.

a b c (Å): 3.4714 4.2134 5.0511
angles (deg): 114.63 110.10 90.00
Last column: nearest neighbours and their distance in Å.
Fractional coordinates of all 4 atoms:
Ni1 0.0262 0.0262 0.0524  2 Ni 2.43
Au1 0.4880 0.4879 0.9759  8 Ni 2.75-2.92, 4 Ca 2.86-2.89
Ni2 0.7262 0.2262 0.4523  2 Ni 2.43
Ca1 0.2597 0.7597 0.5194  8 Ni 2.74-2.90, 4 Au 2.86-2.89

Computed properties:
* total energy: -27.814 eV per atom
* DFT formation energy: -22 meV per atom
* crystal system: orthorhombic
* magnetization: 0.8 μB per formula unit

No. 2
Here is a PBEsol-optimized structure of CaNi2Au2 from the Alexandria database. Energies are from SCAN.

a b c (Å): 4.1043 4.1043 5.9258
angles (deg): 110.26 110.26 90.00
Last column: nearest neighbours and their distance in Å.
Fractional coordinates of all 5 atoms:
Ni1 0.6058 0.6058 0.2116  1 Ni 2.19
Au1 0.7500 0.2500 0.5000  4 Ni 2.54
Ni2 0.3942 0.3942 0.7884  1 Ni 2.19
Ca1 0.0000 0.0000 0.0000  8 Ni 3.10, 8 Au 3.30
Au2 0.2500 0.7500 0.5000  4 Ni 2.54

Computed properties:
* total energy: -36.257 eV per atom
* DFT formation energy: -192 meV per atom
* crystal system: tetragonal
* magnetization: 1.4 μB per formula unit

No. 3
Here is a PBEsol-optimized structure of CaNiAu4 from the Alexandria database. Energies are from SCAN.

a b c (Å): 5.4001 5.4001 5.4001
angles (deg): 60.00 60.00 60.00
Last column: nearest neighbours and their distance in Å.
Fractional coordinates of all 6 atoms:
Au1 0.3745 0.3745 0.3745  6 Au 2.69-2.71
Ni1 0.0000 0.0000 0.0000  12 Au 3.17, 4 Ca 3.31
Au2 0.3745 0.8764 0.3745  6 Au 2.69-2.71
Ca1 0.7500 0.7500 0.7500  12 Au 3.17, 4 Ni 3.31
Au3 0.8764 0.3745 0.3745  6 Au 2.69-2.71
Au4 0.3745 0.3745 0.8764  6 Au 2.69-2.71

Computed properties:
* total energy: -50.643 eV per atom
* DFT formation energy: -233 meV per atom
* crystal system: cubic
* magnetization: 0.7 μB per formula unit

No. 4
Here is a PBEsol-optimized structure of Ca2NiAu from the Alexandria database. Energies are from SCAN.

a b c (Å): 4.0885 4.1971 5.6963
angles (deg): 90.00 111.03 90.00
Last column: nearest neighbours and their distance in Å.
Fractional coordinates of all 4 atoms:
Ca1 0.1054 0.0000 0.2108  3 Ni 3.02-3.09, 4 Au 3.04
Ca2 0.3916 0.5000 0.7831  3 Au 3.03-3.08, 4 Ni 3.04
Au1 0.6812 0.5000 0.3624  2 Ni 2.54
Ni1 0.8149 0.0000 0.6299  2 Au 2.54

Computed properties:
* total energy: -26.684 eV per atom
* DFT formation energy: -520 meV per atom
* crystal system: orthorhombic
* magnetization: 0.0 μB per formula unit

No. 5
Here is a PBEsol-optimized structure of CaNiAu2S from the Alexandria database. Energies are from SCAN.

a b c (Å): 4.5072 5.0975 5.0975
angles (deg): 90.00 90.00 90.00
Last column: nearest neighbours and their distance in Å.
Fractional coordinates of all 5 atoms:
Ni1 0.5000 0.0000 0.0000  2 Ca 2.25
Ca1 0.0000 0.0000 0.0000  2 Ni 2.25
Au1 0.0000 0.0000 0.5000  2 Ca 2.55
Au2 0.0000 0.5000 0.0000  2 Ca 2.55
S1 0.5000 0.5000 0.5000  8 Au 3.40, 4 Ni 3.60

Computed properties:
* E_form (uncorrected): 1.365 eV/atom
* total energy: -33.390 eV per atom
* crystal system: tetragonal
* magnetization: 0.0 μB per formula unit

No. 6
Here is a PBEsol-optimized structure of Ca3AuO from the Alexandria database. Energies are from SCAN.

a b c (Å): 4.7112 4.7112 4.7112
angles (deg): 90.00 90.00 90.00
Last column: nearest neighbours and their distance in Å.
Fractional coordinates of all 5 atoms:
Ca1 0.5000 0.0000 0.0000  2 O 2.36
Ca2 0.0000 0.0000 0.5000  2 O 2.36
Au1 0.5000 0.5000 0.5000  12 Ca 3.33
Ca3 0.0000 0.5000 0.0000  2 O 2.36
O1 0.0000 0.0000 0.0000  6 Ca 2.36

Computed properties:
* E_form (uncorrected): -1.686 eV/atom
* total energy: -22.562 eV per atom
* crystal system: cubic
* magnetization: 0.0 μB per formula unit

No. 7
Here is a PBEsol-optimized structure of CaPAuO2 from the Alexandria database. Energies are from SCAN.

a b c (Å): 4.0445 4.0445 6.1603
angles (deg): 90.00 90.00 90.00
Last column: nearest neighbours and their distance in Å.
Fractional coordinates of all 5 atoms:
P1 0.0000 0.0000 0.5000  4 Au 2.86, 2 Ca 3.08
Au1 0.5000 0.5000 0.5000  4 P 2.86
Ca1 0.0000 0.0000 0.0000  4 O 2.02
O1 0.5000 0.0000 0.0000  2 Ca 2.02
O2 0.0000 0.5000 0.0000  2 Ca 2.02

Computed properties:
* E_form (uncorrected): 0.083 eV/atom
* total energy: -20.254 eV per atom
* crystal system: tetragonal
* magnetization: 3.1 μB per formula unit

No. 8
Here is a PBEsol-optimized structure of CaP2AuO from the Alexandria database. Energies are from SCAN.

a b c (Å): 3.9665 5.1845 5.1845
angles (deg): 90.00 90.00 90.00
Last column: nearest neighbours and their distance in Å.
Fractional coordinates of all 5 atoms:
O1 0.5000 0.0000 0.0000  2 Ca 1.98
Au1 0.5000 0.5000 0.5000  8 P 3.26
Ca1 0.0000 0.0000 0.0000  2 O 1.98
P1 0.0000 0.5000 0.0000  2 Ca 2.59
P2 0.0000 0.0000 0.5000  2 Ca 2.59

Computed properties:
* E_form (uncorrected): 0.806 eV/atom
* total energy: -20.364 eV per atom
* crystal system: tetragonal
* magnetization: 2.0 μB per formula unit

Look up the magnetization of the seventh one. 3.1 μB per formula unit

Number 8 is which compound? CaP2AuO